1.
A relaxed structure of Ba3BiB9O18, computed with PBE.

Properties
The value obtained for the uncorrected formation energy is -78.27 eV/f.u. As for the magnetic moment: 0.0 μB/f.u. As for the space-group type: P6_3/m (176). The value obtained for the calculated volume is 815.61 Å³ per cell.

a = 7.3010 Å, b = 7.3010 Å, c = 17.6681 Å
α = 90.00°, β = 90.00°, γ = 120.00°
With the nearest neighbours (Å) after each atom.
Positions (direct):
Ba 0.0000 0.0000 0.2500  6 O 2.77-2.94
Ba 0.0000 0.0000 0.7500  6 O 2.77-2.94
Ba 0.3333 0.6667 0.1342  9 O 2.76-3.08
Ba 0.3333 0.6667 0.3658  9 O 2.76-3.08
Ba 0.6667 0.3333 0.6342  9 O 2.76-3.08
Ba 0.6667 0.3333 0.8658  9 O 2.76-3.08
Bi 0.0000 0.0000 0.0000  6 O 2.39
Bi 0.0000 0.0000 0.5000  6 O 2.39
B 0.1180 0.6225 0.7500  3 O 1.33-1.42
B 0.1630 0.4525 0.5829  3 O 1.34-1.41
B 0.1630 0.4525 0.9171  3 O 1.34-1.41
B 0.2895 0.8370 0.5829  3 O 1.34-1.41
B 0.2895 0.8370 0.9171  3 O 1.34-1.41
B 0.3775 0.4955 0.7500  3 O 1.33-1.42
B 0.4525 0.2895 0.0829  3 O 1.34-1.41
B 0.4525 0.2895 0.4171  3 O 1.34-1.41
B 0.4955 0.1180 0.2500  3 O 1.33-1.42
B 0.5045 0.8820 0.7500  3 O 1.33-1.42
B 0.5475 0.7105 0.5829  3 O 1.34-1.41
B 0.5475 0.7105 0.9171  3 O 1.34-1.41
B 0.6225 0.5045 0.2500  3 O 1.33-1.42
B 0.7105 0.1630 0.0829  3 O 1.34-1.41
B 0.7105 0.1630 0.4171  3 O 1.34-1.41
B 0.8370 0.5475 0.0829  3 O 1.34-1.41
B 0.8370 0.5475 0.4171  3 O 1.34-1.41
B 0.8820 0.3775 0.2500  3 O 1.33-1.42
O 0.0014 0.7450 0.0843  1 B 1.34
O 0.0014 0.7450 0.4157  1 B 1.34
O 0.0789 0.4121 0.2500  1 B 1.33
O 0.1255 0.6246 0.5822  2 B 1.41
O 0.1255 0.6246 0.9178  2 B 1.41
O 0.1675 0.4589 0.7500  2 B 1.41-1.42
O 0.2550 0.2564 0.0843  1 B 1.34
O 0.2550 0.2564 0.4157  1 B 1.34
O 0.2564 0.0014 0.5843  1 B 1.34
O 0.2564 0.0014 0.9157  1 B 1.34
O 0.2914 0.8325 0.7500  2 B 1.41-1.42
O 0.3332 0.9211 0.2500  1 B 1.33
O 0.3754 0.5009 0.5822  2 B 1.41
O 0.3754 0.5009 0.9178  2 B 1.41
O 0.4121 0.3332 0.7500  1 B 1.33
O 0.4589 0.2914 0.2500  2 B 1.41-1.42
O 0.4991 0.8745 0.5822  2 B 1.41
O 0.4991 0.8745 0.9178  2 B 1.41
O 0.5009 0.1255 0.0822  2 B 1.41
O 0.5009 0.1255 0.4178  2 B 1.41
O 0.5411 0.7086 0.7500  2 B 1.41-1.42
O 0.5879 0.6668 0.2500  1 B 1.33
O 0.6246 0.4991 0.0822  2 B 1.41
O 0.6246 0.4991 0.4178  2 B 1.41
O 0.6668 0.0789 0.7500  1 B 1.33
O 0.7086 0.1675 0.2500  2 B 1.41-1.42
O 0.7436 0.9986 0.0843  1 B 1.34
O 0.7436 0.9986 0.4157  1 B 1.34
O 0.7450 0.7436 0.5843  1 B 1.34
O 0.7450 0.7436 0.9157  1 B 1.34
O 0.8325 0.5411 0.2500  2 B 1.41-1.42
O 0.8745 0.3754 0.0822  2 B 1.41
O 0.8745 0.3754 0.4178  2 B 1.41
O 0.9211 0.5879 0.7500  1 B 1.33
O 0.9986 0.2550 0.5843  1 B 1.34
O 0.9986 0.2550 0.9157  1 B 1.34

2.
A relaxed structure of KLiCo2, computed with PBE.

Properties
The formation energy is 0.985 eV per atom. As for the magnetic moment: 3.2 μB/f.u. As for the space-group type: F-43m (216). The value obtained for the energy above the lowest structure with this stoichiometry is 0.508 eV/atom. The value obtained for the calculated volume is 69.50 Å³ per cell.

a = 4.6149 Å, b = 4.6149 Å, c = 4.6149 Å
α = 60.00°, β = 60.00°, γ = 60.00°
With the nearest neighbours (Å) after each atom.
Positions (direct):
K 0.0000 0.0000 0.0000  4 Co 2.83, 4 Li 2.83
Li 0.7500 0.7500 0.7500  4 Co 2.83, 4 K 2.83
Co 0.2500 0.2500 0.2500  4 Co 2.83, 4 K 2.83
Co 0.5000 0.5000 0.5000  4 Li 2.83, 4 Co 2.83

3.
A relaxed structure of Ac2MgAl4Hg3, computed with PBE.

Properties
The formation energy is -0.349 eV per atom. As for the magnetic moment: 0.0 μB/f.u. As for the space-group type: P-4m2 (115). The value obtained for the calculated volume is 242.32 Å³ per cell.

a = 4.5979 Å, b = 4.5979 Å, c = 11.4625 Å
α = 90.00°, β = 90.00°, γ = 90.00°
With the nearest neighbours (Å) after each atom.
Positions (direct):
Ac 0.0000 0.5000 0.2464  8 Al 3.51-3.64, 6 Hg 3.51-3.71, 2 Mg 3.71
Ac 0.5000 0.0000 0.7536  8 Al 3.51-3.64, 6 Hg 3.51-3.71, 2 Mg 3.71
Mg 0.0000 0.0000 0.5000  4 Al 2.80
Al 0.0000 0.0000 0.0000  4 Hg 2.74
Al 0.0000 0.5000 0.6391  3 Hg 2.64-2.80, 2 Mg 2.80
Al 0.5000 0.0000 0.3609  3 Hg 2.64-2.80, 2 Mg 2.80
Al 0.5000 0.5000 0.0000  4 Hg 2.74
Hg 0.0000 0.5000 0.8698  5 Al 2.64-2.74
Hg 0.5000 0.0000 0.1302  5 Al 2.64-2.74
Hg 0.5000 0.5000 0.5000  4 Al 2.80

4.
A relaxed structure of EuThCu2, computed with PBE.

Properties
The formation energy is -0.019 eV per atom. As for the magnetic moment: 7.1 μB/f.u. As for the space-group type: Fm-3m (225). The value obtained for the energy above the lowest structure with this stoichiometry is 0.053 eV/atom. The value obtained for the calculated volume is 92.15 Å³ per cell.

a = 5.0699 Å, b = 5.0699 Å, c = 5.0699 Å
α = 60.00°, β = 60.00°, γ = 60.00°
With the nearest neighbours (Å) after each atom.
Positions (direct):
Eu 0.0000 0.0000 0.0000  8 Cu 3.10
Th 0.5000 0.5000 0.5000  8 Cu 3.10
Cu 0.2500 0.2500 0.2500  4 Th 3.10, 4 Eu 3.10
Cu 0.7500 0.7500 0.7500  4 Th 3.10, 4 Eu 3.10

5.
A relaxed structure of PuAl4Ga, computed with PBE.

Properties
The formation energy is -0.074 eV per atom. As for the magnetic moment: 6.1 μB/f.u. As for the space-group type: F-43m (216). The value obtained for the energy above the lowest structure with this stoichiometry is 0.103 eV/atom. The value obtained for the calculated volume is 115.71 Å³ per cell.

a = 5.4697 Å, b = 5.4697 Å, c = 5.4697 Å
α = 60.00°, β = 60.00°, γ = 60.00°
With the nearest neighbours (Å) after each atom.
Positions (direct):
Pu 0.0000 0.0000 0.0000  12 Al 3.21, 4 Ga 3.35
Al 0.3745 0.3745 0.3745  6 Al 2.72-2.75
Al 0.3745 0.3745 0.8766  6 Al 2.72-2.75
Al 0.3745 0.8766 0.3745  6 Al 2.72-2.75
Al 0.8766 0.3745 0.3745  6 Al 2.72-2.75
Ga 0.7500 0.7500 0.7500  12 Al 3.21, 4 Pu 3.35

6.
A relaxed structure of BaTcS2, computed with PBE.

Properties
The value obtained for the uncorrected formation energy is -4.31 eV/f.u. As for the magnetic moment: 0.0 μB/f.u. As for the space-group type: P-1 (2). The value obtained for the energy above the lowest structure with this stoichiometry is 0.039 eV/atom. The value obtained for the calculated volume is 247.19 Å³ per cell.

a = 4.3739 Å, b = 5.9606 Å, c = 9.6661 Å
α = 89.15°, β = 89.34°, γ = 78.82°
With the nearest neighbours (Å) after each atom.
Positions (direct):
Ba 0.0089 0.4896 0.2812  4 S 3.04-3.11
Ba 0.9911 0.5104 0.7188  4 S 3.04-3.11
Tc 0.3183 0.8888 0.9998  1 Tc 2.26, 3 S 2.30-2.32
Tc 0.6817 0.1112 0.0002  1 Tc 2.26, 3 S 2.30-2.32
S 0.0049 0.0064 0.8100  2 Tc 2.32
S 0.5000 0.5000 0.0000  2 Tc 2.30
S 0.5000 0.5000 0.5000  4 Ba 3.04-3.05
S 0.9951 0.9936 0.1900  2 Tc 2.32

7.
A relaxed structure of KNa2Ge2, computed with PBE.

Properties
The formation energy is -0.094 eV per atom. As for the magnetic moment: 0.0 μB/f.u. As for the space-group type: C2/m (12). The value obtained for the energy above the lowest structure with this stoichiometry is 0.000 eV/atom. The value obtained for the calculated volume is 156.68 Å³ per cell.

a = 6.7399 Å, b = 6.7399 Å, c = 6.0179 Å
α = 99.25°, β = 99.25°, γ = 35.56°
With the nearest neighbours (Å) after each atom.
Positions (direct):
K 0.0000 0.0000 0.0000  6 Ge 3.49-3.71
Na 0.3457 0.3457 0.4304  4 Ge 3.11-3.15, 2 Na 3.42
Na 0.6543 0.6543 0.5696  4 Ge 3.11-3.15, 2 Na 3.42
Ge 0.2775 0.2775 0.9021  2 Ge 2.53
Ge 0.7225 0.7225 0.0979  2 Ge 2.53

8.
A relaxed structure of Sr3SnN, computed with PBE.

Properties
The value obtained for the uncorrected formation energy is 1.73 eV/f.u. As for the magnetic moment: 1.4 μB/f.u. As for the space-group type: Cmcm (63). The value obtained for the calculated volume is 444.83 Å³ per cell.

a = 9.9210 Å, b = 9.9210 Å, c = 6.7122 Å
α = 90.00°, β = 90.00°, γ = 137.68°
With the nearest neighbours (Å) after each atom.
Positions (direct):
Sr 0.0000 0.0000 0.0000  2 Sr 3.36, 2 Sn 3.38
Sr 0.0000 0.0000 0.5000  2 Sr 3.36, 2 Sn 3.38
Sr 0.0728 0.4310 0.7500  1 N 2.34
Sr 0.4310 0.0728 0.2500  1 N 2.34
Sr 0.5690 0.9272 0.7500  1 N 2.34
Sr 0.9272 0.5690 0.2500  1 N 2.34
Sn 0.1583 0.8417 0.7500  4 Sr 3.38-3.49
Sn 0.8417 0.1583 0.2500  4 Sr 3.38-3.49
N 0.4032 0.5968 0.7500  2 Sr 2.34
N 0.5968 0.4032 0.2500  2 Sr 2.34

Which of these has the lowest calculated volume? KLiCo2